Entry 1:
La2MnSe after structural relaxation. Source: Alexandria, functional GGA-PBE.

Values from the calculation:
- formation energy (no corrections) (eV per atom) = -0.245

Cell and atoms, written as CIF:
```
data_La2MnSe
_space_group_name_H-M_alt 'I -4 2 d'
_space_group_IT_number 122
_space_group_name_Hall 'I -4 2bw'
_cell_length_a 7.095
_cell_length_b 7.095
_cell_length_c 8.374
_cell_angle_alpha 90.00
_cell_angle_beta 90.00
_cell_angle_gamma 90.00
loop_
_atom_site_label
_atom_site_fract_x
_atom_site_fract_y
_atom_site_fract_z
La1 0.172 0.250 0.125
Mn1 0.000 0.000 0.000
Se1 0.000 0.000 0.500
```

=====

Entry 2:
PaCdHg after structural relaxation. Source: Alexandria, functional GGA-PBE.

Values from the calculation:
- ΔE to the lowest computed polymorph (meV/atom) = 124.9

Cell and atoms, written as CIF:
```
data_PaCdHg
_space_group_name_H-M_alt 'R -3 m'
_space_group_IT_number 166
_space_group_name_Hall '-R 3 2"'
_cell_length_a 3.1682
_cell_length_b 3.1682
_cell_length_c 51.8306
_cell_angle_alpha 90.00
_cell_angle_beta 90.00
_cell_angle_gamma 120.00
loop_
_atom_site_label
_atom_site_fract_x
_atom_site_fract_y
_atom_site_fract_z
Pa1 0.0000 0.0000 0.1937
Cd1 0.0000 0.0000 0.3587
Hg1 0.0000 0.0000 0.2552
```

=====

Let's list total DFT energy (no corrections) in order: -0.432; -0.252 Ry per atom.
Let's list total magnetization in order: 0.00; 0.00 μB/f.u..